Entry 1:
# Y2Ga3Cu4Ag | Alexandria via LeMat-Bulk | PBE-GGA | optimized geometry
# - electronic total energy (eV/atom) = -4.48
# - formation energy from the elements (eV/f.u.) = -3.526
data_Y2Ga3Cu4Ag
_chemical_formula_sum 'Y2 Ga3 Cu4 Ag1'
_symmetry_space_group_name_H-M 'P -4 m 2'
_symmetry_Int_Tables_number 115
_cell_length_a 4.042
_cell_length_b 4.042
_cell_length_c 10.818
_cell_angle_alpha 90.00
_cell_angle_beta 90.00
_cell_angle_gamma 90.00
loop_
_symmetry_equiv_pos_as_xyz
'x,y,z'
'y,-x,-z'
'-x,-y,z'
'-y,x,-z'
'-x,y,z'
'-y,-x,-z'
'x,-y,z'
'y,x,-z'
loop_
_atom_site_label
_atom_site_fract_x
_atom_site_fract_y
_atom_site_fract_z
Y1 0.000 0.500 0.243
Ga1 0.000 0.500 0.871
Ga2 0.500 0.500 0.500
Cu1 0.000 0.000 0.000
Cu2 0.000 0.500 0.650
Cu3 0.500 0.500 0.000
Ag1 0.000 0.000 0.500

***

Entry 2:
# ZnGaCuAg2 | Alexandria via LeMat-Bulk | PBE-GGA | optimized geometry
# - electronic total energy (eV/atom) = -2.83
# - formation energy from the elements (eV/f.u.) = -0.062
data_ZnGaCuAg2
_chemical_formula_sum 'Zn2 Ga2 Cu2 Ag4'
_symmetry_space_group_name_H-M 'I m m 2'
_symmetry_Int_Tables_number 44
_cell_length_a 2.851
_cell_length_b 4.327
_cell_length_c 13.105
_cell_angle_alpha 90.00
_cell_angle_beta 90.00
_cell_angle_gamma 90.00
loop_
_symmetry_equiv_pos_as_xyz
'x,y,z'
'-x,-y,z'
'-x,y,z'
'x,-y,z'
'x+1/2,y+1/2,z+1/2'
'-x+1/2,-y+1/2,z+1/2'
'-x+1/2,y+1/2,z+1/2'
'x+1/2,-y+1/2,z+1/2'
loop_
_atom_site_label
_atom_site_fract_x
_atom_site_fract_y
_atom_site_fract_z
Zn1 0.000 0.000 0.000
Ga1 0.000 0.000 0.204
Cu1 0.000 0.500 0.104
Ag1 0.000 0.000 0.420
Ag2 0.000 0.000 0.791

***

Entry 3:
# Zn2GaCu5Ag2 | Alexandria via LeMat-Bulk | PBE-GGA | optimized geometry
# - electronic total energy (eV/atom) = -3.12
# - formation energy from the elements (eV/f.u.) = 0.571
data_Zn2GaCu5Ag2
_chemical_formula_sum 'Zn4 Ga2 Cu10 Ag4'
_symmetry_space_group_name_H-M 'P 4/m b m'
_symmetry_Int_Tables_number 127
_symmetry_space_group_name_Hall '-P 4 2ab'
_cell_length_a 8.767
_cell_length_b 8.767
_cell_length_c 3.788
_cell_angle_alpha 90.00
_cell_angle_beta 90.00
_cell_angle_gamma 90.00
loop_
_atom_site_label
_atom_site_fract_x
_atom_site_fract_y
_atom_site_fract_z
Zn1 0.124 0.376 0.000
Ga1 0.000 0.000 0.000
Cu1 0.000 0.500 0.500
Cu2 0.077 0.194 0.500
Ag1 0.173 0.673 0.000

***

Entry 4:
# GdCuAg2 | Alexandria via LeMat-Bulk | PBE-GGA | optimized geometry
# - electronic total energy (eV/atom) = -6.03
# - formation energy from the elements (eV/f.u.) = -0.258
data_GdCuAg2
_chemical_formula_sum 'Gd1 Cu1 Ag2'
_symmetry_space_group_name_H-M 'P 4/m m m'
_symmetry_Int_Tables_number 123
_symmetry_space_group_name_Hall '-P 4 2'
_cell_length_a 3.435
_cell_length_b 3.435
_cell_length_c 6.731
_cell_angle_alpha 90.00
_cell_angle_beta 90.00
_cell_angle_gamma 90.00
loop_
_atom_site_label
_atom_site_fract_x
_atom_site_fract_y
_atom_site_fract_z
Gd1 0.000 0.000 0.000
Cu1 0.000 0.000 0.500
Ag1 0.500 0.500 0.295

***

Entry 5:
# Gd2CuAg | Alexandria via LeMat-Bulk | PBE-GGA | optimized geometry
# - polymorph energy (0 for the lowest one) (meV per atom) = 0
# - electronic total energy (eV/atom) = -9.03
# - formation energy from the elements (eV/f.u.) = -1.018
data_Gd2CuAg
_chemical_formula_sum 'Gd2 Cu1 Ag1'
_symmetry_space_group_name_H-M 'P 4/m m m'
_symmetry_Int_Tables_number 123
_symmetry_space_group_name_Hall '-P 4 2'
_cell_length_a 3.586
_cell_length_b 3.586
_cell_length_c 7.223
_cell_angle_alpha 90.00
_cell_angle_beta 90.00
_cell_angle_gamma 90.00
loop_
_atom_site_label
_atom_site_fract_x
_atom_site_fract_y
_atom_site_fract_z
Gd1 0.000 0.000 0.236
Cu1 0.500 0.500 0.000
Ag1 0.500 0.500 0.500

***

Entry 6:
# Gd2CuAg | Alexandria via LeMat-Bulk | PBE-GGA | optimized geometry
# - polymorph energy (0 for the lowest one) (meV per atom) = 19
# - electronic total energy (eV/atom) = -9.01
# - formation energy from the elements (eV/f.u.) = -0.941
data_Gd2CuAg
_chemical_formula_sum 'Gd8 Cu4 Ag4'
_symmetry_space_group_name_H-M 'F m -3 m'
_symmetry_Int_Tables_number 225
_symmetry_space_group_name_Hall '-F 4 2 3'
_cell_length_a 7.205
_cell_length_b 7.205
_cell_length_c 7.205
_cell_angle_alpha 90.00
_cell_angle_beta 90.00
_cell_angle_gamma 90.00
loop_
_atom_site_label
_atom_site_fract_x
_atom_site_fract_y
_atom_site_fract_z
Gd1 0.250 0.250 0.250
Cu1 0.000 0.000 0.000
Ag1 0.000 0.000 0.500

***

Entry 7:
# GdCuAg4 | Alexandria via LeMat-Bulk | PBE-GGA | optimized geometry
# - electronic total energy (eV/atom) = -4.95
# - formation energy from the elements (eV/f.u.) = -0.106
data_GdCuAg4
_chemical_formula_sum 'Gd4 Cu4 Ag16'
_symmetry_space_group_name_H-M 'F -4 3 m'
_symmetry_Int_Tables_number 216
_symmetry_space_group_name_Hall 'F -4 2 3'
_cell_length_a 7.813
_cell_length_b 7.813
_cell_length_c 7.813
_cell_angle_alpha 90.00
_cell_angle_beta 90.00
_cell_angle_gamma 90.00
loop_
_atom_site_label
_atom_site_fract_x
_atom_site_fract_y
_atom_site_fract_z
Gd1 0.000 0.000 0.000
Cu1 0.250 0.250 0.250
Ag1 0.124 0.124 0.624

***

Entry 8:
# GdCuAg | Alexandria via LeMat-Bulk | PBE-GGA | optimized geometry
# - electronic total energy (eV/atom) = -7.22
# - formation energy from the elements (eV/f.u.) = -0.645
data_GdCuAg
_chemical_formula_sum 'Gd1 Cu1 Ag1'
_symmetry_space_group_name_H-M 'P -6 m 2'
_symmetry_Int_Tables_number 187
_symmetry_space_group_name_Hall 'P -6 2'
_cell_length_a 4.5718
_cell_length_b 4.5718
_cell_length_c 3.4751
_cell_angle_alpha 90.00
_cell_angle_beta 90.00
_cell_angle_gamma 120.00
loop_
_atom_site_label
_atom_site_fract_x
_atom_site_fract_y
_atom_site_fract_z
Gd1 0.0000 0.0000 0.0000
Cu1 0.6667 0.3333 0.5000
Ag1 0.3333 0.6667 0.5000

***

Entry 9:
# GdCuAg | Alexandria via LeMat-Bulk | PBE-GGA | optimized geometry
# - electronic total energy (eV/atom) = -7.09
# - formation energy from the elements (eV/f.u.) = -0.243
data_GdCuAg
_chemical_formula_sum 'Gd4 Cu4 Ag4'
_symmetry_space_group_name_H-M 'F -4 3 m'
_symmetry_Int_Tables_number 216
_symmetry_space_group_name_Hall 'F -4 2 3'
_cell_length_a 6.498
_cell_length_b 6.498
_cell_length_c 6.498
_cell_angle_alpha 90.00
_cell_angle_beta 90.00
_cell_angle_gamma 90.00
loop_
_atom_site_label
_atom_site_fract_x
_atom_site_fract_y
_atom_site_fract_z
Gd1 0.000 0.000 0.000
Cu1 0.250 0.250 0.750
Ag1 0.000 0.000 0.500

***

Entry 10:
# GdCuAg | Alexandria via LeMat-Bulk | PBE-GGA | optimized geometry
# - electronic total energy (eV/atom) = -7.19
# - formation energy from the elements (eV/f.u.) = -0.531
data_GdCuAg
_chemical_formula_sum 'Gd2 Cu2 Ag2'
_symmetry_space_group_name_H-M 'I 4 m m'
_symmetry_Int_Tables_number 107
_symmetry_space_group_name_Hall 'I 4 -2'
_cell_length_a 3.607
_cell_length_b 3.607
_cell_length_c 9.401
_cell_angle_alpha 90.00
_cell_angle_beta 90.00
_cell_angle_gamma 90.00
loop_
_atom_site_label
_atom_site_fract_x
_atom_site_fract_y
_atom_site_fract_z
Gd1 0.000 0.000 0.000
Cu1 0.000 0.000 0.671
Ag1 0.000 0.000 0.314

***

Entry 11:
# Gd2CuAg | Alexandria via LeMat-Bulk | PBE-GGA | optimized geometry
# - polymorph energy (0 for the lowest one) (meV per atom) = 549
# - electronic total energy (eV/atom) = -8.48
# - formation energy from the elements (eV/f.u.) = 1.179
data_Gd2CuAg
_chemical_formula_sum 'Gd6 Cu3 Ag3'
_symmetry_space_group_name_H-M 'R -3 m'
_symmetry_Int_Tables_number 166
_symmetry_space_group_name_Hall '-R 3 2"'
_cell_length_a 3.3953
_cell_length_b 3.3953
_cell_length_c 31.0317
_cell_angle_alpha 90.00
_cell_angle_beta 90.00
_cell_angle_gamma 120.00
loop_
_atom_site_label
_atom_site_fract_x
_atom_site_fract_y
_atom_site_fract_z
Gd1 0.0000 0.0000 0.0977
Cu1 0.0000 0.0000 0.5000
Ag1 0.0000 0.0000 0.0000

***

Entry 12:
# GdCuAgHg | Alexandria via LeMat-Bulk | PBE-GGA | optimized geometry
# - electronic total energy (eV/atom) = -5.52
# - formation energy from the elements (eV/f.u.) = -0.739
data_GdCuAgHg
_chemical_formula_sum 'Gd4 Cu4 Ag4 Hg4'
_symmetry_space_group_name_H-M 'F -4 3 m'
_symmetry_Int_Tables_number 216
_symmetry_space_group_name_Hall 'F -4 2 3'
_cell_length_a 6.904
_cell_length_b 6.904
_cell_length_c 6.904
_cell_angle_alpha 90.00
_cell_angle_beta 90.00
_cell_angle_gamma 90.00
loop_
_atom_site_label
_atom_site_fract_x
_atom_site_fract_y
_atom_site_fract_z
Gd1 0.000 0.000 0.000
Cu1 0.250 0.250 0.750
Ag1 0.250 0.250 0.250
Hg1 0.000 0.000 0.500